DFT (meta-GGA SCAN) results for a PBEsol-optimized structure of LuMg2Sc.

POSCAR file:
```
LuMg2Sc
1.0
-0.015 0.168 5.122
3.955 -1.913 2.638
3.197 3.153 2.470
Sc Mg Lu
1 2 1
direct
0.000 0.000 0.000
0.250 0.250 0.250
0.750 0.750 0.750
0.500 0.500 0.500
```

Calculated values
The total energy comes out at -79.7 eV/cell. Its total magnetization is 0.00 μB per formula unit. The density of states at the Fermi level is 4.6 states/eV/cell. The formation energy is -0.0309 eV per atom.